# AcPrDy5Ho2, optimized geometry, DFT PBE
data_AcPrDy5Ho2
_space_group_name_H-M_alt 'I 4/m c m'
_space_group_IT_number 140
_space_group_name_Hall '-I 4 2c'
_cell_length_a 8.919
_cell_length_b 8.919
_cell_length_c 15.392
_cell_angle_alpha 90.00
_cell_angle_beta 90.00
_cell_angle_gamma 90.00
loop_
_atom_site_label
_atom_site_fract_x
_atom_site_fract_y
_atom_site_fract_z
Ac1 0.000 0.000 0.250
Pr1 0.000 0.500 0.250
Dy1 0.000 0.000 0.000
Dy2 0.199 0.301 0.125
Ho1 0.115 0.385 0.500
# formation energy = 234 kJ/mol of formula units